1.
{
  "formula": "TbPmEr5Th2",
  "functional": "GGA-PBE",
  "state": "optimized geometry",
  "dos_at_fermi_per_ev_cell": 25.65,
  "formation_enthalpy_0k_ev_per_atom": 0.337,
  "e_tot_ev_per_atom": -4.889,
  "density_g_cm3": 9.02,
  "lattice_angstrom": [[-4.4212, 4.4212, 7.5561], [4.4212, -4.4212, 7.5561], [4.4212, 4.4212, -7.5561]],
  "species": ["Tb", "Tb", "Pm", "Pm", "Er", "Er", "Er", "Er", "Er", "Er", "Er", "Er", "Er", "Er", "Th", "Th", "Th", "Th"],
  "frac_coords": [[0.2500, 0.7500, 0.5000], [0.7500, 0.2500, 0.5000], [0.2500, 0.2500, 0.0000], [0.7500, 0.7500, 0.0000], [0.0000, 0.0000, 0.0000], [0.0699, 0.5699, 0.9154], [0.1545, 0.0699, 0.5000], [0.3455, 0.8455, 0.9154], [0.4301, 0.3455, 0.5000], [0.5000, 0.5000, 0.0000], [0.5699, 0.6545, 0.5000], [0.6545, 0.1545, 0.0846], [0.8455, 0.9301, 0.5000], [0.9301, 0.4301, 0.0846], [0.1185, 0.3815, 0.5000], [0.3815, 0.8815, 0.2630], [0.6185, 0.1185, 0.7370], [0.8815, 0.6185, 0.5000]]
}

---

2.
{
  "formula": "TbPm6Er3Th2",
  "functional": "GGA-PBE",
  "state": "optimized geometry",
  "dos_at_fermi_per_ev_cell": 17.25,
  "formation_enthalpy_0k_ev_per_atom": 0.039,
  "e_tot_ev_per_atom": -5.099,
  "density_g_cm3": 8.39,
  "lattice_angstrom": [[3.1155, -5.3903, 0.0000], [3.1155, 5.3903, 0.0000], [-2.0796, 0.0000, 11.7549]],
  "species": ["Tb", "Pm", "Pm", "Pm", "Pm", "Pm", "Pm", "Er", "Er", "Er", "Th", "Th"],
  "frac_coords": [[0.0000, 0.0000, 0.0000], [0.0831, 0.4194, 0.2490], [0.2536, 0.2536, 0.7505], [0.4194, 0.0831, 0.2490], [0.5806, 0.9169, 0.7510], [0.7464, 0.7464, 0.2495], [0.9169, 0.5806, 0.7510], [0.1668, 0.8332, 0.5000], [0.5000, 0.5000, 0.5000], [0.8332, 0.1668, 0.5000], [0.3335, 0.6665, 0.0000], [0.6665, 0.3335, 0.0000]]
}

---

3.
{
  "formula": "Tb2Pm6Er3Th",
  "functional": "GGA-PBE",
  "state": "optimized geometry",
  "dos_at_fermi_per_ev_cell": 16.03,
  "formation_enthalpy_0k_ev_per_atom": 0.032,
  "e_tot_ev_per_atom": -4.874,
  "density_g_cm3": 8.10,
  "lattice_angstrom": [[3.1168, -5.3939, 0.0000], [3.1168, 5.3939, 0.0000], [-2.0792, 0.0000, 11.7138]],
  "species": ["Tb", "Tb", "Pm", "Pm", "Pm", "Pm", "Pm", "Pm", "Er", "Er", "Er", "Th"],
  "frac_coords": [[0.1666, 0.8334, 0.0000], [0.8334, 0.1666, 0.0000], [0.0858, 0.4160, 0.7493], [0.2540, 0.2540, 0.2505], [0.4160, 0.0858, 0.7493], [0.5840, 0.9142, 0.2507], [0.7460, 0.7460, 0.7495], [0.9142, 0.5840, 0.2507], [0.0000, 0.0000, 0.5000], [0.3331, 0.6669, 0.5000], [0.6669, 0.3331, 0.5000], [0.5000, 0.5000, 0.0000]]
}